Record 1
The following is a DFT calculation (GGA-PBE) of a relaxed structure of Dy6HoEr2Sc3.

The space group is C2/m (No. 12) and the conventional cell measures 6.024, 10.423 and 11.410 Å, with angles of 90.00, 100.11 and 90.00 degrees. Symmetry generates all atoms from Dy at (0.247, 0.000, 0.242), Dy at (0.247, 0.333, 0.242), Ho at (0.000, 0.000, 0.500), Er at (0.000, 0.333, 0.500), Sc at (0.000, 0.167, 0.000) and Sc at (0.000, 0.500, 0.000).

The formation energy from the elements is 0.04 eV/atom.

=====

Record 2
The following is a DFT calculation (GGA-PBE) of a relaxed structure of KCdTe3.

The space group is Pm-3m (No. 221) and the conventional cell measures 5.736, 5.736 and 5.736 Å, with angles of 90.00, 90.00 and 90.00 degrees. Symmetry generates all atoms from K at (0.000, 0.000, 0.000), Cd at (0.500, 0.500, 0.500) and Te at (0.000, 0.500, 0.500).

For the formation energy from raw total energies, the calculation gives -101 meV per atom.

=====

Taking the records one at a time from the top gives calculated total energy values of -4.983, -2.389 eV per atom.
Taking the records one at a time from the top gives spin magnetization values of 0.00, 0.00 μB/f.u..